A plane-wave DFT calculation with PBE-GGA was carried out for crystalline In2PtI6Cl2 at its relaxed geometry.

a = 8.1332 Å, b = 8.1332 Å, c = 8.2763 Å
α = 93.53°, β = 93.53°, γ = 66.48°
Atoms (fractional coordinates):
I (0.6782, 0.1014, 0.8585)
I (0.8986, 0.3218, 0.1415)
I (0.1014, 0.6782, 0.8585)
I (0.3218, 0.8986, 0.1415)
I (0.8180, 0.8180, 0.3501)
I (0.1820, 0.1820, 0.6499)
In (0.7773, 0.7773, 0.6651)
In (0.2227, 0.2227, 0.3349)
Cl (0.3910, 0.3910, 0.2842)
Cl (0.6090, 0.6090, 0.7158)
Pt (0.0000, 0.0000, 0.0000)

Output
calculated volume: 501 Å³ per cell
E_tot: -2.743 eV per atom
space group: C2/m (12)

***

A plane-wave DFT calculation with PBE-GGA was carried out for crystalline Ir2ICl at its relaxed geometry.

a = 7.3689 Å, b = 3.9093 Å, c = 3.9093 Å
α = 60.02°, β = 90.00°, γ = 90.00°
Atoms (fractional coordinates):
Ir (0.3150, 0.0000, 0.0000)
Ir (0.6850, 0.0000, 0.0000)
I (0.5000, 0.6666, 0.6666)
Cl (0.0000, 0.0000, 0.0000)

Output
calculated volume: 98 Å³ per cell
E_tot: -4.392 eV per atom
space group: P-6m2 (187)

***

A plane-wave DFT calculation with PBE-GGA was carried out for crystalline IrICl2 at its relaxed geometry.

a = 6.5065 Å, b = 6.5065 Å, c = 6.3997 Å
α = 98.00°, β = 98.00°, γ = 123.04°
Atoms (fractional coordinates):
I (0.2314, 0.2314, 0.2406)
I (0.7686, 0.7686, 0.7594)
Ir (0.1711, 0.8289, 0.0000)
Ir (0.8289, 0.1711, 0.0000)
Cl (0.5655, 0.9288, 0.2144)
Cl (0.4345, 0.0712, 0.7856)
Cl (0.9288, 0.5655, 0.2144)
Cl (0.0712, 0.4345, 0.7856)

Output
calculated volume: 217 Å³ per cell
E_tot: -3.878 eV per atom
space group: C2/m (12)

***

A plane-wave DFT calculation with PBE-GGA was carried out for crystalline IrICl2 at its relaxed geometry.

a = 6.1931 Å, b = 6.5024 Å, c = 7.2657 Å
α = 64.64°, β = 65.49°, γ = 61.72°
Atoms (fractional coordinates):
Cl (0.0650, 0.4303, 0.7938)
Cl (0.4290, 0.7063, 0.7935)
Cl (0.9350, 0.5697, 0.2062)
Cl (0.5710, 0.2937, 0.2065)
Ir (0.3291, 0.3416, 0.9997)
Ir (0.6709, 0.6584, 0.0003)
I (0.2649, 0.9224, 0.2322)
I (0.7351, 0.0776, 0.7678)

Output
calculated volume: 224 Å³ per cell
E_tot: -3.882 eV per atom
space group: P-1 (2)